# Sr2InNiPd | Alexandria | PBE | relaxed
data_Sr2InNiPd
_chemical_formula_sum 'Sr2 In1 Ni1 Pd1'
_cell_length_a 6.206
_cell_length_b 6.206
_cell_length_c 4.914
_cell_angle_alpha 90.00
_cell_angle_beta 90.00
_cell_angle_gamma 90.00
_space_group_name_H-M_alt 'P 4/m m m'
_space_group_IT_number 123
_space_group_name_Hall '-P 4 2'
loop_
_atom_site_label
_atom_site_type_symbol
_atom_site_fract_x
_atom_site_fract_y
_atom_site_fract_z
_atom_site_occupancy
Sr1 Sr 0.000 0.500 0.000 1
In1 In 0.000 0.000 0.000 1
Ni1 Ni 0.500 0.500 0.500 1
Pd1 Pd 0.000 0.000 0.500 1
# V   37.85 A^3/atom
# M_tot   0.8 μB/cell
# ΔE_f   0.52 eV/atom